Entry 1:
Density functional theory data (PBE) for crystalline CdTe2 at its relaxed geometry.

Geometry as POSCAR:
```
CdTe2
1.0
4.010 -6.945 0.000
4.010 6.945 0.000
0.000 0.000 5.443
Cd Te
3 6
Cartesian
0.000 0.000 0.000
4.010 2.315 2.722
4.010 -2.315 2.722
3.038 0.000 4.388
2.491 -4.314 4.388
2.491 4.314 4.388
1.519 2.631 1.056
1.519 -2.631 1.056
4.982 0.000 1.056
```

Output
For the formation energy (no corrections), the calculation gives -2 kJ/mol of atoms. The symmetry is P-31m. The value obtained for the magnetic moment is 0.0 μB/cell. For the density, the calculation gives 6.0 g cm⁻³.

---

Entry 2:
Density functional theory data (PBE) for crystalline ScAl2ZnAu4 at its relaxed geometry.

Geometry as POSCAR:
```
ScAl2ZnAu4
1.0
4.461 0.000 0.000
2.231 3.864 0.000
2.231 1.288 8.117
Sc Al Zn Au
1 2 1 4
Cartesian
0.000 0.000 0.000
6.692 3.864 6.083
2.231 1.288 2.034
4.461 2.576 4.058
4.461 2.576 6.788
6.692 3.864 3.129
2.231 1.288 4.988
4.461 2.576 1.329
```

Output
The symmetry is R-3m. The value obtained for the magnetic moment is 0.0 μB/cell. For the density, the calculation gives 11.3 g cm⁻³. The value obtained for the formation energy is -0.47 eV per atom.

---

Entry 3:
Density functional theory data (PBE) for crystalline Nd3Tm4Mg at its relaxed geometry.

Geometry as POSCAR:
```
Nd3Tm4Mg
1.0
4.775 0.000 -1.146
-0.280 4.865 -1.164
0.051 -0.009 10.727
Mg Tm Nd
1 4 3
Cartesian
2.387 0.000 -0.573
3.545 1.221 4.247
1.001 3.635 4.169
1.713 1.807 7.135
2.833 3.049 1.281
-0.140 2.432 -0.582
3.970 4.250 6.016
0.576 0.607 2.400
```

Output
The symmetry is Immm. The value obtained for the magnetic moment is 0.0 μB/cell. The value obtained for the distance to the lowest polymorph of the same formula is 0.022 eV per atom. For the density, the calculation gives 7.5 g cm⁻³. The value obtained for the formation energy is 0.02 eV per atom.

---

Entry 4:
Density functional theory data (PBE) for crystalline K2TlInH at its relaxed geometry.

Geometry as POSCAR:
```
K2TlInH
1.0
5.338 0.000 0.000
0.000 5.338 0.000
0.000 0.000 5.056
H Tl K In
1 1 2 1
Cartesian
0.000 0.000 0.000
2.669 2.669 2.528
0.000 2.669 0.000
2.669 0.000 0.000
0.000 0.000 2.528
```

Output
The symmetry is P4/mmm. The value obtained for the magnetic moment is 0.0 μB/cell. The value obtained for the distance to the lowest polymorph of the same formula is 0.000 eV per atom. For the density, the calculation gives 4.6 g cm⁻³.

---

Entry 5:
Density functional theory data (PBE) for crystalline ScCoTe2N at its relaxed geometry.

Geometry as POSCAR:
```
ScCoTe2N
1.0
-5.261 0.632 -0.121
-0.203 -0.681 5.253
0.400 3.421 0.459
Sc Te Co N
1 2 1 1
Cartesian
-2.532 1.686 2.795
-0.101 -0.340 2.626
-2.631 0.316 -0.061
0.000 0.000 0.000
0.200 1.710 0.229
```

Output
For the formation energy (no corrections), the calculation gives -10 kJ/mol of atoms. The symmetry is P4/mmm. The value obtained for the magnetic moment is 0.0 μB/cell. The value obtained for the distance to the lowest polymorph of the same formula is 0.000 eV per atom. For the density, the calculation gives 6.3 g cm⁻³.

---

Entry 6:
Density functional theory data (PBE) for crystalline CaP2W at its relaxed geometry.

Geometry as POSCAR:
```
CaP2W
1.0
-1.818 -3.988 1.611
1.980 0.241 2.831
-2.436 2.566 3.601
Ca P W
1 2 1
Cartesian
-1.582 0.244 5.586
-2.221 2.515 3.719
-1.061 -0.955 3.206
-0.075 0.984 2.350
```

Output
The symmetry is Amm2. The value obtained for the magnetic moment is 0.0 μB/cell. The value obtained for the distance to the lowest polymorph of the same formula is 0.213 eV per atom. For the density, the calculation gives 6.2 g cm⁻³. The value obtained for the formation energy is -0.35 eV per atom.